Below is a geometry-optimized GeBiI2 structure, with properties calculated at the PBE level.

The structure in CIF format:
```
data_GeBiI2
_symmetry_space_group_name_H-M 'R -3 m'
_symmetry_Int_Tables_number 166
_symmetry_space_group_name_Hall '-R 3 2"'
_cell_length_a 3.9175
_cell_length_b 3.9175
_cell_length_c 31.8834
_cell_angle_alpha 90.00
_cell_angle_beta 90.00
_cell_angle_gamma 120.00
loop_
_atom_site_label
_atom_site_type_symbol
_atom_site_fract_x
_atom_site_fract_y
_atom_site_fract_z
Ge1 Ge 0.0000 0.0000 0.0000
Bi1 Bi 0.0000 0.0000 0.5000
I1 I 0.0000 0.0000 0.3979
```

Output
E_tot = -33.16 eV/cell
N(E_F) = 8.2 states/eV/cell